1.
7
Lattice="4.903 0.000 0.000 0.000 4.903 0.000 0.000 0.000 8.676" Properties=species:S:1:pos:R:3 comment="TlInHg5 | Alexandria via LeMat-Bulk | GGA-PBE | relaxed" m_tot_mub_per_atom=0.000 crystal_system=tetragonal n_ef_per_ev_cell=3.9 formation_energy_mev_per_atom=23 pbc="T T T"
Tl 0.000 0.000 0.000
In 2.451 2.451 4.338
Hg 0.000 0.000 4.338
Hg 0.000 2.451 2.122
Hg 0.000 2.451 6.554
Hg 2.451 0.000 2.122
Hg 2.451 0.000 6.554

2.
12
Lattice="6.857 0.000 0.000 0.000 4.104 0.000 0.000 0.000 7.525" Properties=species:S:1:pos:R:3 comment="CaPRh | Alexandria via LeMat-Bulk | GGA-PBE | relaxed" m_tot_mub_per_atom=0.000 crystal_system=orthorhombic n_ef_per_ev_cell=6.8 formation_energy_mev_per_atom=-952 pbc="T T T"
Ca 0.091 1.026 1.374
Ca 3.338 3.078 5.136
Ca 3.519 1.026 2.389
Ca 6.766 3.078 6.151
P 1.417 3.078 2.957
P 2.011 1.026 6.720
P 4.846 3.078 0.805
P 5.440 1.026 4.568
Rh 0.970 1.026 4.209
Rh 2.459 3.078 0.447
Rh 4.398 1.026 7.078
Rh 5.887 3.078 3.316

3.
12
Lattice="4.652 0.000 0.000 -0.323 5.648 0.000 -0.580 -2.586 6.982" Properties=species:S:1:pos:R:3 comment="BaLi2PtF8 | Alexandria via LeMat-Bulk | GGA-PBE | relaxed" formation_energy_uncorrected_ev_per_atom=-2.520 m_tot_mub_per_atom=0.000 crystal_system=triclinic n_ef_per_ev_cell=0.0 pbc="T T T"
Ba 0.000 0.000 0.000
Li 1.706 0.315 5.656
Li 2.044 2.746 1.326
Pt -0.452 1.531 3.491
F 0.211 2.217 1.745
F 0.217 3.051 4.552
F 1.105 0.397 3.878
F 1.981 4.163 0.097
F 1.769 -1.101 6.885
F 2.644 2.665 3.103
F 3.532 0.010 2.430
F 3.538 0.845 5.237

4.
4
Lattice="3.297 0.000 0.000 0.000 3.297 0.000 0.000 0.000 7.186" Properties=species:S:1:pos:R:3 comment="PaGa2Au | Alexandria via LeMat-Bulk | GGA-PBE | relaxed" m_tot_mub_per_atom=0.007 crystal_system=tetragonal n_ef_per_ev_cell=4.6 formation_energy_mev_per_atom=-195 pbc="T T T"
Pa 0.000 0.000 0.000
Ga 1.649 1.649 2.013
Ga 1.649 1.649 5.172
Au 0.000 0.000 3.593

5.
12
Lattice="6.203 0.000 0.000 -0.224 7.216 0.000 -0.012 -0.001 9.667" Properties=species:S:1:pos:R:3 comment="Na2CeTlBr8 | Alexandria via LeMat-Bulk | GGA-PBE | relaxed" formation_energy_uncorrected_ev_per_atom=-1.278 m_tot_mub_per_atom=0.027 crystal_system=triclinic n_ef_per_ev_cell=2.0 pbc="T T T"
Na 6.199 0.000 2.269
Na -0.231 7.215 7.398
Ce 2.990 3.608 0.000
Tl 2.984 3.607 4.833
Br 1.521 1.220 0.003
Br 1.423 4.665 7.599
Br 1.568 0.184 4.834
Br 1.434 4.671 2.064
Br 4.533 2.544 7.603
Br 4.400 7.030 4.833
Br 4.544 2.550 2.067
Br 4.446 5.995 9.664

6.
7
Lattice="5.693 -1.608 0.000 5.693 1.608 0.000 -3.130 0.000 5.959" Properties=species:S:1:pos:R:3 comment="K2PtO4 | Alexandria via LeMat-Bulk | GGA-PBE | relaxed" formation_energy_uncorrected_ev_per_atom=-0.912 m_tot_mub_per_atom=0.284 crystal_system=monoclinic pbc="T T T"
K 1.274 0.000 1.079
K 6.982 0.000 4.880
Pt 4.128 0.000 2.980
O -0.326 0.000 3.315
O 4.609 0.000 1.144
O 3.646 0.000 4.815
O 8.582 0.000 2.644